(1)
# AcSmPb2O8 (GGA-PBE, optimized geometry)
# * VASP energy: -152.8 eV per cell
# * M_tot: 4.120 Bohr magnetons per cell
# * E_form (uncorrected): -20.48 eV/f.u.
# * crystal system: tetragonal
data_AcSmPb2O8
_cell_length_a 5.655
_cell_length_b 5.655
_cell_length_c 11.616
_cell_angle_alpha 90.00
_cell_angle_beta 90.00
_cell_angle_gamma 90.00
_symmetry_space_group_name_H-M 'I -4'
_symmetry_Int_Tables_number 82
loop_
_symmetry_equiv_pos_as_xyz
'x,y,z'
'y,-x,-z'
'-x,-y,z'
'-y,x,-z'
'x+1/2,y+1/2,z+1/2'
'y+1/2,-x+1/2,-z+1/2'
'-x+1/2,-y+1/2,z+1/2'
'-y+1/2,x+1/2,-z+1/2'
loop_
_atom_site_label
_atom_site_fract_x
_atom_site_fract_y
_atom_site_fract_z
Ac1 0.000 0.000 0.000
Sm1 0.000 0.500 0.250
Pb1 0.000 0.000 0.500
Pb2 0.000 0.500 0.750
O1 0.185 0.255 0.401
O2 0.206 0.751 0.842

=====

(2)
# Er6Hg5Pt (GGA-PBE, optimized geometry)
# * VASP energy: -42.3 eV per cell
# * M_tot: 0.000 Bohr magnetons per cell
# * formation energy from the elements: -59 kJ per mole of atoms
# * crystal system: monoclinic
data_Er6Hg5Pt
_cell_length_a 5.151
_cell_length_b 7.321
_cell_length_c 8.149
_cell_angle_alpha 90.00
_cell_angle_beta 108.34
_cell_angle_gamma 90.00
_symmetry_space_group_name_H-M 'P 1 2/m 1'
_symmetry_Int_Tables_number 10
loop_
_symmetry_equiv_pos_as_xyz
'x,y,z'
'-x,-y,-z'
'-x,y,-z'
'x,-y,z'
loop_
_atom_site_label
_atom_site_fract_x
_atom_site_fract_y
_atom_site_fract_z
Er1 0.000 0.234 0.000
Er2 0.341 0.244 0.682
Hg1 0.169 0.500 0.339
Hg2 0.175 0.000 0.350
Hg3 0.500 0.500 0.000
Pt1 0.500 0.000 0.000

=====

(3)
# KNbP2O (GGA-PBE, optimized geometry)
# * VASP energy: -29.9 eV per cell
# * M_tot: 0.722 Bohr magnetons per cell
# * E_form (uncorrected): -2.98 eV/f.u.
# * crystal system: tetragonal
data_KNbP2O
_cell_length_a 5.025
_cell_length_b 5.025
_cell_length_c 4.053
_cell_angle_alpha 90.00
_cell_angle_beta 90.00
_cell_angle_gamma 90.00
_symmetry_space_group_name_H-M 'P 4/m m m'
_symmetry_Int_Tables_number 123
_symmetry_space_group_name_Hall '-P 4 2'
loop_
_atom_site_label
_atom_site_fract_x
_atom_site_fract_y
_atom_site_fract_z
K1 0.000 0.000 0.000
Nb1 0.500 0.500 0.500
P1 0.000 0.500 0.500
O1 0.500 0.500 0.000

=====

(4)
# Al2OsRhSe (GGA-PBE, optimized geometry)
# * VASP energy: -26.6 eV per cell
# * M_tot: 0.000 Bohr magnetons per cell
# * E_form (uncorrected): 2.94 eV/f.u.
# * crystal system: tetragonal
data_Al2OsRhSe
_cell_length_a 4.752
_cell_length_b 4.752
_cell_length_c 4.768
_cell_angle_alpha 90.00
_cell_angle_beta 90.00
_cell_angle_gamma 90.00
_symmetry_space_group_name_H-M 'P 4/m m m'
_symmetry_Int_Tables_number 123
_symmetry_space_group_name_Hall '-P 4 2'
loop_
_atom_site_label
_atom_site_fract_x
_atom_site_fract_y
_atom_site_fract_z
Al1 0.000 0.500 0.000
Os1 0.000 0.000 0.000
Rh1 0.000 0.000 0.500
Se1 0.500 0.500 0.500

=====

(5)
# Pm2Pr2Al (GGA-PBE, optimized geometry)
# * VASP energy: -46.9 eV per cell
# * M_tot: 0.002 Bohr magnetons per cell
# * formation energy from the elements: -12 kJ per mole of atoms
# * crystal system: tetragonal
data_Pm2Pr2Al
_cell_length_a 3.652
_cell_length_b 3.652
_cell_length_c 23.779
_cell_angle_alpha 90.00
_cell_angle_beta 90.00
_cell_angle_gamma 90.00
_symmetry_space_group_name_H-M 'I 4/m m m'
_symmetry_Int_Tables_number 139
_symmetry_space_group_name_Hall '-I 4 2'
loop_
_atom_site_label
_atom_site_fract_x
_atom_site_fract_y
_atom_site_fract_z
Pm1 0.000 0.000 0.080
Pr1 0.000 0.000 0.306
Al1 0.000 0.000 0.500

=====

(6)
# Ce4CdAu (GGA-PBE, optimized geometry)
# * VASP energy: -116.8 eV per cell
# * M_tot: 5.468 Bohr magnetons per cell
# * formation energy from the elements: -21 kJ per mole of atoms
# * crystal system: monoclinic
data_Ce4CdAu
_cell_length_a 8.703
_cell_length_b 12.794
_cell_length_c 5.959
_cell_angle_alpha 90.00
_cell_angle_beta 110.11
_cell_angle_gamma 90.00
_symmetry_space_group_name_H-M 'C 1 2/c 1'
_symmetry_Int_Tables_number 15
loop_
_symmetry_equiv_pos_as_xyz
'x,y,z'
'-x,-y,-z'
'-x,y,-z+1/2'
'x,-y,z+1/2'
'x+1/2,y+1/2,z'
'-x+1/2,-y+1/2,-z'
'-x+1/2,y+1/2,-z+1/2'
'x+1/2,-y+1/2,z+1/2'
loop_
_atom_site_label
_atom_site_fract_x
_atom_site_fract_y
_atom_site_fract_z
Ce1 0.125 0.204 0.080
Ce2 0.210 0.379 0.354
Cd1 0.000 0.406 0.750
Au1 0.000 0.005 0.750

=====

(7)
# PbSeSBr2 (GGA-PBE, optimized geometry)
# * VASP energy: -12.4 eV per cell
# * M_tot: 3.434 Bohr magnetons per cell
# * E_form (uncorrected): 2.23 eV/f.u.
# * crystal system: tetragonal
data_PbSeSBr2
_cell_length_a 5.803
_cell_length_b 5.803
_cell_length_c 5.865
_cell_angle_alpha 90.00
_cell_angle_beta 90.00
_cell_angle_gamma 90.00
_symmetry_space_group_name_H-M 'P 4/m m m'
_symmetry_Int_Tables_number 123
_symmetry_space_group_name_Hall '-P 4 2'
loop_
_atom_site_label
_atom_site_fract_x
_atom_site_fract_y
_atom_site_fract_z
Pb1 0.000 0.000 0.000
Se1 0.000 0.000 0.500
S1 0.500 0.500 0.500
Br1 0.000 0.500 0.000

=====

(8)
# Dy8BiPb5 (GGA-PBE, optimized geometry)
# * VASP energy: -134.4 eV per cell
# * M_tot: 0.000 Bohr magnetons per cell
# * formation energy from the elements: -55 kJ per mole of atoms
# * crystal system: tetragonal
data_Dy8BiPb5
_cell_length_a 9.401
_cell_length_b 9.401
_cell_length_c 9.393
_cell_angle_alpha 90.00
_cell_angle_beta 90.00
_cell_angle_gamma 90.00
_symmetry_space_group_name_H-M 'I -4'
_symmetry_Int_Tables_number 82
loop_
_symmetry_equiv_pos_as_xyz
'x,y,z'
'y,-x,-z'
'-x,-y,z'
'-y,x,-z'
'x+1/2,y+1/2,z+1/2'
'y+1/2,-x+1/2,-z+1/2'
'-x+1/2,-y+1/2,z+1/2'
'-y+1/2,x+1/2,-z+1/2'
loop_
_atom_site_label
_atom_site_fract_x
_atom_site_fract_y
_atom_site_fract_z
Dy1 0.072 0.177 0.304
Dy2 0.072 0.320 0.943
Bi1 0.000 0.500 0.250
Pb1 0.000 0.000 0.000
Pb2 0.126 0.250 0.624

=====

(9)
# LaSmCoBr (GGA-PBE, optimized geometry)
# * VASP energy: -43.0 eV per cell
# * M_tot: 0.000 Bohr magnetons per cell
# * E_form (uncorrected): -3.07 eV/f.u.
# * crystal system: monoclinic
data_LaSmCoBr
_cell_length_a 6.894
_cell_length_b 3.974
_cell_length_c 8.244
_cell_angle_alpha 90.00
_cell_angle_beta 106.04
_cell_angle_gamma 90.00
_symmetry_space_group_name_H-M 'C 1 m 1'
_symmetry_Int_Tables_number 8
loop_
_symmetry_equiv_pos_as_xyz
'x,y,z'
'x,-y,z'
'x+1/2,y+1/2,z'
'x+1/2,-y+1/2,z'
loop_
_atom_site_label
_atom_site_fract_x
_atom_site_fract_y
_atom_site_fract_z
La1 0.000 0.000 0.000
Sm1 0.205 0.000 0.619
Co1 0.103 0.500 0.813
Br1 0.275 0.500 0.327

=====

(10)
# Ba7Y (GGA-PBE, optimized geometry)
# * VASP energy: -75.1 eV per cell
# * M_tot: 0.051 Bohr magnetons per cell
# * formation energy from the elements: 14 kJ per mole of atoms
# * crystal system: cubic
data_Ba7Y
_cell_length_a 12.214
_cell_length_b 12.214
_cell_length_c 12.214
_cell_angle_alpha 90.00
_cell_angle_beta 90.00
_cell_angle_gamma 90.00
_symmetry_space_group_name_H-M 'F m -3 m'
_symmetry_Int_Tables_number 225
_symmetry_space_group_name_Hall '-F 4 2 3'
loop_
_atom_site_label
_atom_site_fract_x
_atom_site_fract_y
_atom_site_fract_z
Ba1 0.000 0.000 0.000
Ba2 0.000 0.250 0.250
Y1 0.000 0.000 0.500

=====

(11)
# K3ThSn2Se6 (GGA-PBE, optimized geometry)
# * VASP energy: -106.0 eV per cell
# * M_tot: 0.000 Bohr magnetons per cell
# * E_form (uncorrected): -13.37 eV/f.u.
# * crystal system: monoclinic
data_K3ThSn2Se6
_cell_length_a 7.514
_cell_length_b 13.009
_cell_length_c 8.052
_cell_angle_alpha 90.00
_cell_angle_beta 108.07
_cell_angle_gamma 90.00
_symmetry_space_group_name_H-M 'C 1 2/m 1'
_symmetry_Int_Tables_number 12
loop_
_symmetry_equiv_pos_as_xyz
'x,y,z'
'-x,-y,-z'
'-x,y,-z'
'x,-y,z'
'x+1/2,y+1/2,z'
'-x+1/2,-y+1/2,-z'
'-x+1/2,y+1/2,-z'
'x+1/2,-y+1/2,z'
loop_
_atom_site_label
_atom_site_fract_x
_atom_site_fract_y
_atom_site_fract_z
K1 0.000 0.000 0.000
K2 0.000 0.329 0.000
Th1 0.000 0.500 0.500
Sn1 0.000 0.166 0.500
Se1 0.233 0.336 0.707
Se2 0.242 0.000 0.708